<1>
The following is a DFT calculation (PBE) of a relaxed Ti6Bi2N crystal.

- Calculated volume: 153.5 Å³/cell
- N(E_F): 10.250 states/eV per cell

a = 6.0319 Å, b = 6.0319 Å, c = 4.8733 Å
α = 90.03°, β = 90.03°, γ = 59.93°
Last column: nearest neighbours and their distance in Å.
Atoms (fractional coordinates):
Ti (0.1585, 0.1585, 0.7599)  1 N 2.08
Ti (0.1586, 0.6836, 0.7607)  1 N 2.08
Ti (0.3164, 0.8414, 0.2393)  1 N 2.08
Ti (0.6836, 0.1586, 0.7607)  1 N 2.08
Ti (0.8414, 0.3164, 0.2393)  1 N 2.08
Ti (0.8415, 0.8415, 0.2401)  1 N 2.08
Bi (0.3332, 0.3332, 0.2573)  12 Ti 3.02-3.06
Bi (0.6668, 0.6668, 0.7427)  12 Ti 3.02-3.06
N (0.0000, 0.0000, 0.5000)  6 Ti 2.08

<2>
The following is a DFT calculation (PBE) of a relaxed Ti6Bi2N crystal.

- Calculated volume: 151.9 Å³/cell
- N(E_F): 11.937 states/eV per cell

a = 5.9893 Å, b = 5.9893 Å, c = 5.9893 Å
α = 60.00°, β = 60.00°, γ = 60.00°
Last column: nearest neighbours and their distance in Å.
Atoms (fractional coordinates):
Ti (0.2479, 0.2479, 0.7521)  1 N 2.14
Ti (0.2479, 0.7521, 0.2479)  1 N 2.14
Ti (0.2479, 0.7521, 0.7521)  1 N 2.14
Ti (0.7521, 0.2479, 0.2479)  1 N 2.14
Ti (0.7521, 0.2479, 0.7521)  1 N 2.14
Ti (0.7521, 0.7521, 0.2479)  1 N 2.14
Bi (0.2500, 0.2500, 0.2500)  12 Ti 2.99
Bi (0.7500, 0.7500, 0.7500)  12 Ti 2.99
N (0.5000, 0.5000, 0.5000)  6 Ti 2.14

Most stable pick: <1>. Distance to second place: 92 meV per atom.

<1>
The following is a DFT calculation (PBE) of a relaxed TlBi2N crystal.

- Calculated volume: 230.3 Å³/cell
- N(E_F): 1.621 states/eV per cell

a = 5.5095 Å, b = 6.0340 Å, c = 7.7188 Å
α = 82.24°, β = 84.71°, γ = 65.02°
Last column: nearest neighbours and their distance in Å.
Atoms (fractional coordinates):
Tl (0.0000, 0.0000, 0.0000)  1 N 2.49
Tl (0.3133, 0.4006, 0.1326)  2 N 2.46-2.54
Bi (0.2769, 0.4216, 0.6329)  1 N 2.29
Bi (0.5594, 0.8478, 0.7547)  2 Bi 3.18-3.21, 1 Tl 3.31
Bi (0.6224, 0.7593, 0.3490)  2 N 2.22-2.27
Bi (0.9746, 0.1195, 0.4942)  2 N 2.23-2.34
N (0.2324, 0.0374, 0.2494)  2 Bi 2.22-2.23, 1 Tl 2.46
N (0.5594, 0.4070, 0.3929)  3 Bi 2.27-2.34, 1 Tl 2.54

<2>
The following is a DFT calculation (PBE) of a relaxed TlBi2N crystal.

- Calculated volume: 214.9 Å³/cell
- N(E_F): 3.798 states/eV per cell

a = 6.3238 Å, b = 6.3238 Å, c = 6.5647 Å
α = 103.35°, β = 103.35°, γ = 114.98°
Last column: nearest neighbours and their distance in Å.
Atoms (fractional coordinates):
Tl (0.2243, 0.2243, 0.2390)  1 N 2.48
Tl (0.7757, 0.7757, 0.7610)  1 N 2.48
Bi (0.0892, 0.4334, 0.7541)  2 N 2.26-2.28
Bi (0.4398, 0.1374, 0.7586)  1 N 2.30
Bi (0.5666, 0.9108, 0.2459)  2 N 2.26-2.28
Bi (0.8626, 0.5602, 0.2414)  1 N 2.30
N (0.1828, 0.5600, 0.1304)  3 Bi 2.26-2.30, 1 Tl 2.48
N (0.4400, 0.8172, 0.8696)  3 Bi 2.26-2.30, 1 Tl 2.48

Most stable pick: <1>. Distance to second place: 31 meV per atom.

<1>
The following is a DFT calculation (PBE) of a relaxed TlBi2N2 crystal.

- Calculated volume: 195.0 Å³/cell
- N(E_F): 2.842 states/eV per cell

a = 7.6615 Å, b = 7.6615 Å, c = 3.3220 Å
α = 90.00°, β = 90.00°, γ = 90.00°
Last column: nearest neighbours and their distance in Å.
Atoms (fractional coordinates):
Tl (0.0000, 0.0000, 0.0000)  4 N 3.02, 2 Tl 3.32
Tl (0.5000, 0.5000, 0.0000)  4 N 3.02, 2 Tl 3.32
Bi (0.1369, 0.3631, 0.5000)  4 N 2.62
Bi (0.3631, 0.8631, 0.5000)  4 N 2.62
Bi (0.6369, 0.1369, 0.5000)  4 N 2.62
Bi (0.8631, 0.6369, 0.5000)  4 N 2.62
N (0.1266, 0.6266, 0.0000)  4 Bi 2.62, 1 N 2.74
N (0.3734, 0.1266, 0.0000)  4 Bi 2.62, 1 N 2.74
N (0.6266, 0.8734, 0.0000)  4 Bi 2.62, 1 N 2.74
N (0.8734, 0.3734, 0.0000)  4 Bi 2.62, 1 N 2.74

<2>
The following is a DFT calculation (PBE) of a relaxed TlBi2N2 crystal.

- Calculated volume: 213.7 Å³/cell
- N(E_F): 5.954 states/eV per cell

a = 8.1590 Å, b = 8.1590 Å, c = 3.2109 Å
α = 90.00°, β = 90.00°, γ = 90.00°
Last column: nearest neighbours and their distance in Å.
Atoms (fractional coordinates):
Tl (0.0000, 0.0000, 0.0000)  2 Tl 3.21, 4 Bi 3.22
Tl (0.5000, 0.5000, 0.0000)  2 Tl 3.21, 4 Bi 3.22
Bi (0.1257, 0.3743, 0.0000)  4 N 2.55
Bi (0.3743, 0.8743, 0.0000)  4 N 2.55
Bi (0.6257, 0.1257, 0.0000)  4 N 2.55
Bi (0.8743, 0.6257, 0.0000)  4 N 2.55
N (0.1174, 0.6174, 0.5000)  4 Bi 2.55, 1 N 2.71
N (0.3826, 0.1174, 0.5000)  4 Bi 2.55, 1 N 2.71
N (0.6174, 0.8826, 0.5000)  4 Bi 2.55, 1 N 2.71
N (0.8826, 0.3826, 0.5000)  4 Bi 2.55, 1 N 2.71

<3>
The following is a DFT calculation (PBE) of a relaxed TlBi2N2 crystal.

- Calculated volume: 214.2 Å³/cell
- N(E_F): 1.826 states/eV per cell

a = 4.2811 Å, b = 6.7341 Å, c = 8.0277 Å
α = 78.00°, β = 81.58°, γ = 71.79°
Last column: nearest neighbours and their distance in Å.
Atoms (fractional coordinates):
Tl (0.0000, 0.0000, 0.0000)  2 N 3.47, 6 Bi 3.51-3.85
Bi (0.3109, 0.4388, 0.8878)  2 Bi 2.97
Bi (0.6891, 0.5612, 0.1122)  2 Bi 2.97
N (0.0235, 0.9997, 0.5666)  1 N 1.11
N (0.9765, 0.0003, 0.4334)  1 N 1.11

<4>
The following is a DFT calculation (PBE) of a relaxed TlBi2N2 crystal.

- Calculated volume: 115.3 Å³/cell
- N(E_F): 2.356 states/eV per cell

a = 7.4106 Å, b = 7.4106 Å, c = 7.4106 Å
α = 147.78°, β = 147.78°, γ = 46.21°
Last column: nearest neighbours and their distance in Å.
Atoms (fractional coordinates):
Tl (0.0000, 0.0000, 0.0000)  8 Bi 3.72, 8 N 3.98, 4 Tl 4.11
Bi (0.3297, 0.3297, 0.0000)  4 N 2.33
Bi (0.6703, 0.6703, 0.0000)  4 N 2.33
N (0.2500, 0.7500, 0.5000)  4 Bi 2.33
N (0.7500, 0.2500, 0.5000)  4 Bi 2.33

Most stable pick: <3>. Distance to second place: 451 meV per atom.

<1>
The following is a DFT calculation (PBE) of a relaxed Tl3BiN crystal.

- Calculated volume: 223.6 Å³/cell
- N(E_F): 15.195 states/eV per cell

a = 6.0692 Å, b = 6.0692 Å, c = 6.0692 Å
α = 90.00°, β = 90.00°, γ = 90.00°
Last column: nearest neighbours and their distance in Å.
Atoms (fractional coordinates):
Tl (0.0000, 0.0000, 0.5000)  2 Bi 3.03
Tl (0.0000, 0.5000, 0.0000)  2 Bi 3.03
Tl (0.5000, 0.0000, 0.0000)  2 Bi 3.03
Bi (0.0000, 0.0000, 0.0000)  6 Tl 3.03
N (0.5000, 0.5000, 0.5000)  12 Tl 4.29

<2>
The following is a DFT calculation (PBE) of a relaxed Tl3BiN crystal.

- Calculated volume: 323.7 Å³/cell
- N(E_F): 3.050 states/eV per cell

a = 6.0962 Å, b = 6.3309 Å, c = 9.1615 Å
α = 86.84°, β = 87.03°, γ = 66.55°
Last column: nearest neighbours and their distance in Å.
Atoms (fractional coordinates):
Tl (0.1281, 0.0046, 0.3507)  1 N 2.27
Tl (0.3368, 0.3857, 0.8636)  1 N 2.32
Tl (0.3435, 0.3624, 0.4232)  2 N 2.33-2.35
Tl (0.6565, 0.6376, 0.5768)  2 N 2.33-2.35
Tl (0.6632, 0.6143, 0.1364)  1 N 2.32
Tl (0.8719, 0.9954, 0.6493)  1 N 2.27
Bi (0.2214, 0.9287, 0.9025)  1 Bi 3.00, 3 Tl 3.13-3.26
Bi (0.7786, 0.0713, 0.0975)  1 Bi 3.00, 3 Tl 3.13-3.26
N (0.4559, 0.6670, 0.3600)  4 Tl 2.27-2.35
N (0.5441, 0.3330, 0.6400)  4 Tl 2.27-2.35

<3>
The following is a DFT calculation (PBE) of a relaxed Tl3BiN crystal.

- Calculated volume: 128.6 Å³/cell
- N(E_F): 2.378 states/eV per cell

a = 5.0469 Å, b = 5.0469 Å, c = 5.0469 Å
α = 90.00°, β = 90.00°, γ = 90.00°
Last column: nearest neighbours and their distance in Å.
Atoms (fractional coordinates):
Tl (0.0000, 0.0000, 0.5000)  2 N 2.52
Tl (0.0000, 0.5000, 0.0000)  2 N 2.52
Tl (0.5000, 0.0000, 0.0000)  2 N 2.52
Bi (0.5000, 0.5000, 0.5000)  12 Tl 3.57
N (0.0000, 0.0000, 0.0000)  6 Tl 2.52

Most stable pick: <2>. Distance to second place: 111 meV per atom.

<1>
The following is a DFT calculation (PBE) of a relaxed TlBiN crystal.

- Calculated volume: 163.6 Å³/cell
- N(E_F): 1.326 states/eV per cell

a = 4.9956 Å, b = 5.2799 Å, c = 6.2544 Å
α = 94.45°, β = 95.69°, γ = 91.24°
Last column: nearest neighbours and their distance in Å.
Atoms (fractional coordinates):
Tl (0.2216, 0.2756, 0.0454)  2 N 2.40-2.44
Tl (0.7784, 0.7244, 0.9546)  2 N 2.40-2.44
Bi (0.2312, 0.7835, 0.4988)  2 N 2.23
Bi (0.7688, 0.2165, 0.5012)  2 N 2.23
N (0.0170, 0.0081, 0.7420)  2 Bi 2.23, 2 Tl 2.40-2.44
N (0.9830, 0.9919, 0.2580)  2 Bi 2.23, 2 Tl 2.40-2.44

<2>
The following is a DFT calculation (PBE) of a relaxed TlBiN crystal.

- Calculated volume: 145.1 Å³/cell
- N(E_F): 2.956 states/eV per cell

a = 3.6443 Å, b = 3.6453 Å, c = 12.6157 Å
α = 90.87°, β = 90.01°, γ = 119.98°
Last column: nearest neighbours and their distance in Å.
Atoms (fractional coordinates):
Tl (0.0000, 0.0000, 0.0000)  1 N 2.45
Tl (0.3213, 0.6473, 0.2531)  4 N 2.23-2.37
Bi (0.9997, 0.0040, 0.5214)  3 N 2.34
Bi (0.6704, 0.3432, 0.7659)  3 Tl 3.58-3.65, 9 Bi 3.64-3.75
N (0.3299, 0.6644, 0.4407)  3 Bi 2.34, 1 Tl 2.37
N (0.9855, 0.9761, 0.1937)  4 Tl 2.23-2.45

Most stable pick: <1>. Distance to second place: 65 meV per atom.

<1>
The following is a DFT calculation (PBE) of a relaxed ZnBi3N crystal.

- Calculated volume: 149.3 Å³/cell
- N(E_F): 10.356 states/eV per cell

a = 5.3048 Å, b = 5.3048 Å, c = 5.3048 Å
α = 90.00°, β = 90.00°, γ = 90.00°
Last column: nearest neighbours and their distance in Å.
Atoms (fractional coordinates):
Zn (0.0000, 0.0000, 0.0000)  6 Bi 2.65
Bi (0.0000, 0.0000, 0.5000)  2 Zn 2.65
Bi (0.0000, 0.5000, 0.0000)  2 Zn 2.65
Bi (0.5000, 0.0000, 0.0000)  2 Zn 2.65
N (0.5000, 0.5000, 0.5000)  12 Bi 3.75

<2>
The following is a DFT calculation (PBE) of a relaxed ZnBi3N crystal.

- Calculated volume: 122.0 Å³/cell
- N(E_F): 2.641 states/eV per cell

a = 4.9594 Å, b = 4.9594 Å, c = 4.9594 Å
α = 90.00°, β = 90.00°, γ = 90.00°
Last column: nearest neighbours and their distance in Å.
Atoms (fractional coordinates):
Zn (0.0000, 0.0000, 0.0000)  12 Bi 3.51
Bi (0.0000, 0.5000, 0.5000)  2 N 2.48
Bi (0.5000, 0.0000, 0.5000)  2 N 2.48
Bi (0.5000, 0.5000, 0.0000)  2 N 2.48
N (0.5000, 0.5000, 0.5000)  6 Bi 2.48

Most stable pick: <2>. Distance to second place: 997 meV per atom.

<1>
The following is a DFT calculation (PBE) of a relaxed ZnBiN2 crystal.

- Calculated volume: 53.4 Å³/cell
- N(E_F): 1.818 states/eV per cell

a = 4.2259 Å, b = 4.2259 Å, c = 4.2259 Å
α = 60.00°, β = 60.00°, γ = 60.00°
Last column: nearest neighbours and their distance in Å.
Atoms (fractional coordinates):
Zn (0.0000, 0.0000, 0.0000)  8 N 2.59
Bi (0.5000, 0.5000, 0.5000)  8 N 2.59
N (0.2500, 0.2500, 0.2500)  4 Bi 2.59, 4 Zn 2.59
N (0.7500, 0.7500, 0.7500)  4 Bi 2.59, 4 Zn 2.59

<2>
The following is a DFT calculation (PBE) of a relaxed ZnBiN2 crystal.

- Calculated volume: 68.8 Å³/cell
- N(E_F): 1.801 states/eV per cell

a = 6.3545 Å, b = 6.3545 Å, c = 6.3545 Å
α = 33.28°, β = 33.28°, γ = 33.28°
Last column: nearest neighbours and their distance in Å.
Atoms (fractional coordinates):
Zn (0.0000, 0.0000, 0.0000)  2 N 1.83
Bi (0.5000, 0.5000, 0.5000)  6 N 2.40
N (0.1018, 0.1018, 0.1018)  1 Zn 1.83
N (0.8982, 0.8982, 0.8982)  1 Zn 1.83

Most stable pick: <2>. Distance to second place: 673 meV per atom.

<1>
The following is a DFT calculation (PBE) of a relaxed ZnBiN2 crystal.

- Calculated volume: 127.2 Å³/cell
- N(E_F): 3.901 states/eV per cell

a = 6.2187 Å, b = 6.2187 Å, c = 6.2187 Å
α = 132.77°, β = 132.77°, γ = 69.01°
Last column: nearest neighbours and their distance in Å.
Atoms (fractional coordinates):
Zn (0.0000, 0.0000, 0.0000)  4 N 2.09
Zn (0.7500, 0.2500, 0.5000)  4 N 2.09
Bi (0.2500, 0.7500, 0.5000)  4 N 2.27
Bi (0.5000, 0.5000, 0.0000)  4 N 2.27
N (0.0930, 0.6250, 0.9680)  2 Zn 2.09, 2 Bi 2.27
N (0.3750, 0.3430, 0.4680)  2 Zn 2.09, 2 Bi 2.27
N (0.6570, 0.1250, 0.0320)  2 Zn 2.09, 2 Bi 2.27
N (0.8750, 0.9070, 0.5320)  2 Zn 2.09, 2 Bi 2.27

<2>
The following is a DFT calculation (PBE) of a relaxed ZnBiN2 crystal.

- Calculated volume: 60.5 Å³/cell
- N(E_F): 3.077 states/eV per cell

a = 6.6583 Å, b = 6.6583 Å, c = 6.6583 Å
α = 28.78°, β = 28.78°, γ = 28.78°
Last column: nearest neighbours and their distance in Å.
Atoms (fractional coordinates):
Zn (0.0000, 0.0000, 0.0000)  6 N 2.13
Bi (0.5000, 0.5000, 0.5000)  2 N 2.24
N (0.3827, 0.3827, 0.3827)  3 Zn 2.13, 1 Bi 2.24
N (0.6173, 0.6173, 0.6173)  3 Zn 2.13, 1 Bi 2.24

Most stable pick: <1>. Distance to second place: 539 meV per atom.